# VSb2IN, optimized geometry, DFT PBE
# - Electronic total energy: -4.214 eV per atom
# - E_form (uncorrected): 6.17 eV/f.u.
# - Relative energy among the computed polymorphs: 1.46 eV per formula unit
data_VSb2IN
_chemical_formula_sum 'V1 Sb2 I1 N1'
_symmetry_space_group_name_H-M 'P 4/m m m'
_symmetry_Int_Tables_number 123
_symmetry_space_group_name_Hall '-P 4 2'
_cell_length_a 5.107
_cell_length_b 5.107
_cell_length_c 5.678
_cell_angle_alpha 90.00
_cell_angle_beta 90.00
_cell_angle_gamma 90.00
loop_
_atom_site_label
_atom_site_type_symbol
_atom_site_fract_x
_atom_site_fract_y
_atom_site_fract_z
V1 V 0.000 0.000 0.000
Sb1 Sb 0.000 0.500 0.000
I1 I 0.000 0.000 0.500
N1 N 0.500 0.500 0.500